No. 1
DFT (PBE-GGA) results for a relaxed Zr4ZnP crystal.

Properties
- Density of states at the Fermi level: 0.929 states/eV per atom
- SG: F-43m (216)
- Offset from the most stable computed form: 1.0448 eV per atom
- Magnetic moment: 0.00 μB/cell

Unit cell a=5.6670 b=5.6670 c=5.6670 alpha=60.00 beta=60.00 gamma=60.00
Element x y z (fractional)
Zr (0.3741, 0.3741, 0.3741)
Zr (0.3741, 0.3741, 0.8778)
P (0.7500, 0.7500, 0.7500)
Zn (0.0000, 0.0000, 0.0000)
Zr (0.3741, 0.8778, 0.3741)
Zr (0.8778, 0.3741, 0.3741)



No. 2
DFT (PBE-GGA) results for a relaxed Pm12Cu3Rh5 crystal.

Properties
- Density of states at the Fermi level: 0.892 states/eV per atom
- SG: Ia-3d (230)
- Magnetic moment: 0.00 μB/cell
- E_tot: -5.39 eV/atom

Unit cell a=14.6560 b=14.6560 c=14.6560 alpha=109.47 beta=109.47 gamma=109.47
Element x y z (fractional)
Cu (0.7500, 0.3750, 0.1250)
Pm (0.4594, 0.7852, 0.8744)
Rh (0.0000, 0.0000, 0.0000)
Pm (0.1742, 0.0892, 0.7148)
Rh (0.7500, 0.1250, 0.8750)
Pm (0.5406, 0.3258, 0.9150)
Pm (0.2148, 0.6742, 0.0892)
Pm (0.8744, 0.2852, 0.4594)
Pm (0.9108, 0.8258, 0.7852)
Cu (0.2500, 0.6250, 0.8750)
Rh (0.3750, 0.1250, 0.7500)
Pm (0.0406, 0.6256, 0.7148)
Pm (0.1256, 0.7148, 0.5406)
Rh (0.7500, 0.6250, 0.3750)
Pm (0.0892, 0.1742, 0.2148)
Pm (0.5892, 0.7148, 0.6742)
Pm (0.4594, 0.6742, 0.0850)
Pm (0.6742, 0.4594, 0.5850)
Pm (0.5406, 0.2148, 0.1256)
Pm (0.2852, 0.8744, 0.9594)
Pm (0.0892, 0.9150, 0.3744)
Cu (0.8750, 0.1250, 0.2500)
Rh (0.5000, 0.5000, 0.5000)
Pm (0.9150, 0.8258, 0.5406)
Pm (0.1256, 0.4108, 0.0850)
Rh (0.1250, 0.3750, 0.2500)
Pm (0.7852, 0.4594, 0.3744)
Pm (0.0850, 0.1742, 0.4594)
Rh (0.5000, 0.5000, 0.0000)
Pm (0.3744, 0.4150, 0.0892)
Rh (0.3750, 0.2500, 0.1250)
Rh (0.0000, 0.5000, 0.0000)
Pm (0.9108, 0.0850, 0.6256)
Pm (0.0406, 0.4150, 0.8258)
Rh (0.1250, 0.7500, 0.3750)
Rh (0.5000, 0.0000, 0.5000)
Pm (0.6256, 0.5850, 0.9108)
Pm (0.8744, 0.5892, 0.9150)
Cu (0.6250, 0.2500, 0.3750)
Pm (0.8258, 0.9108, 0.2852)
Pm (0.9594, 0.5850, 0.1742)
Pm (0.5892, 0.8744, 0.4150)
Rh (0.2500, 0.3750, 0.6250)
Pm (0.9150, 0.0892, 0.8744)
Rh (0.8750, 0.2500, 0.6250)
Cu (0.7500, 0.8750, 0.6250)
Pm (0.4108, 0.2852, 0.3258)
Cu (0.8750, 0.7500, 0.1250)
Pm (0.7852, 0.3258, 0.9108)
Rh (0.6250, 0.7500, 0.8750)
Pm (0.3258, 0.7852, 0.4108)
Cu (0.3750, 0.6250, 0.2500)
Pm (0.7148, 0.5892, 0.1742)
Pm (0.3744, 0.9594, 0.7852)
Cu (0.1250, 0.2500, 0.8750)
Rh (0.8750, 0.6250, 0.7500)
Pm (0.5850, 0.6256, 0.4108)
Pm (0.7148, 0.1256, 0.0406)
Cu (0.2500, 0.1250, 0.3750)
Pm (0.6256, 0.0406, 0.2148)
Pm (0.4150, 0.0406, 0.3258)
Pm (0.0850, 0.9108, 0.1256)
Rh (0.5000, 0.0000, 0.0000)
Pm (0.4150, 0.3744, 0.5892)
Pm (0.1742, 0.0850, 0.9594)
Pm (0.6742, 0.2148, 0.5892)
Pm (0.9594, 0.3744, 0.2852)
Pm (0.5850, 0.9594, 0.6742)
Cu (0.3750, 0.7500, 0.6250)
Pm (0.2852, 0.4108, 0.8258)
Rh (0.0000, 0.5000, 0.5000)
Pm (0.2148, 0.5406, 0.6256)
Pm (0.4108, 0.1256, 0.5850)
Rh (0.0000, 0.0000, 0.5000)
Pm (0.8258, 0.9150, 0.0406)
Cu (0.1250, 0.8750, 0.7500)
Cu (0.6250, 0.3750, 0.7500)
Rh (0.6250, 0.8750, 0.2500)
Rh (0.2500, 0.8750, 0.1250)
Pm (0.3258, 0.5406, 0.4150)



No. 3
DFT (PBE-GGA) results for a relaxed TmHfAlMo crystal.

Properties
- Density of states at the Fermi level: 0.678 states/eV per atom
- SG: F-43m (216)
- Magnetic moment: 0.00 μB/cell
- E_tot: -7.34 eV/atom

Unit cell a=4.8339 b=4.8339 c=4.8339 alpha=60.00 beta=60.00 gamma=60.00
Element x y z (fractional)
Hf (0.0000, 0.0000, 0.0000)
Tm (0.5000, 0.5000, 0.5000)
Mo (0.7500, 0.7500, 0.7500)
Al (0.2500, 0.2500, 0.2500)



No. 4
DFT (PBE-GGA) results for a relaxed Tb2DyEr9 crystal.

Properties
- Density of states at the Fermi level: 1.419 states/eV per atom
- SG: P4/mmm (123)
- Offset from the most stable computed form: 0.0000 eV per atom
- Magnetic moment: 0.00 μB/cell

Unit cell a=4.9657 b=4.9657 c=14.8895 alpha=90.00 beta=90.00 gamma=90.00
Element x y z (fractional)
Tb (0.0000, 0.0000, 0.3333)
Er (0.5000, 0.0000, 0.1665)
Dy (0.0000, 0.0000, 0.0000)
Er (0.0000, 0.5000, 0.1665)
Er (0.5000, 0.5000, 0.3331)
Er (0.0000, 0.5000, 0.5000)
Er (0.5000, 0.5000, 0.0000)
Tb (0.0000, 0.0000, 0.6667)
Er (0.0000, 0.5000, 0.8335)
Er (0.5000, 0.5000, 0.6669)
Er (0.5000, 0.0000, 0.5000)
Er (0.5000, 0.0000, 0.8335)



No. 5
DFT (PBE-GGA) results for a relaxed DyTaAs2 crystal.

Properties
- Density of states at the Fermi level: 0.461 states/eV per atom
- SG: R-3m (166)
- Magnetic moment: 0.00 μB/cell
- E_tot: -7.26 eV/atom

Unit cell a=3.8818 b=3.8818 c=6.7775 alpha=73.36 beta=73.36 gamma=60.00
Element x y z (fractional)
Ta (0.0000, 0.0000, 0.0000)
As (0.2582, 0.2582, 0.2254)
Dy (0.5000, 0.5000, 0.5000)
As (0.7418, 0.7418, 0.7746)



No. 6
DFT (PBE-GGA) results for a relaxed Ac6PrNd2 crystal.

Properties
- Density of states at the Fermi level: 2.045 states/eV per atom
- SG: P-6m2 (187)
- Offset from the most stable computed form: 0.0000 eV per atom
- Magnetic moment: 0.00 μB/cell

Unit cell a=3.9055 b=3.9055 c=29.0179 alpha=90.00 beta=90.00 gamma=120.00
Element x y z (fractional)
Ac (0.6667, 0.3333, 0.8927)
Nd (0.6667, 0.3333, 0.3294)
Nd (0.6667, 0.3333, 0.6706)
Ac (0.3333, 0.6667, 0.4336)
Ac (0.6667, 0.3333, 0.1073)
Ac (0.3333, 0.6667, 0.7784)
Ac (0.3333, 0.6667, 0.2216)
Pr (0.3333, 0.6667, 0.0000)
Ac (0.3333, 0.6667, 0.5664)



No. 7
DFT (PBE-GGA) results for a relaxed Y2AlZn3Au4 crystal.

Properties
- Density of states at the Fermi level: 0.463 states/eV per atom
- SG: P-4m2 (115)
- Magnetic moment: 0.00 μB/cell
- E_tot: -3.90 eV/atom

Unit cell a=4.1402 b=4.1402 c=11.5651 alpha=90.00 beta=90.00 gamma=90.00
Element x y z (fractional)
Y (0.0000, 0.5000, 0.7525)
Zn (0.0000, 0.0000, 0.5000)
Au (0.0000, 0.5000, 0.3580)
Zn (0.5000, 0.0000, 0.8603)
Al (0.5000, 0.5000, 0.5000)
Au (0.5000, 0.5000, 0.0000)
Au (0.5000, 0.0000, 0.6420)
Y (0.5000, 0.0000, 0.2475)
Au (0.0000, 0.0000, 0.0000)
Zn (0.0000, 0.5000, 0.1397)



No. 8
DFT (PBE-GGA) results for a relaxed Bi2TeIrW crystal.

Properties
- Energy relative to the elements, uncorrected: 1.0911 eV/atom
- Density of states at the Fermi level: 1.093 states/eV per atom
- SG: P4/mmm (123)
- Magnetic moment: 2.32 μB/cell

Unit cell a=5.4632 b=4.9005 c=5.4632 alpha=90.00 beta=90.00 gamma=90.00
Element x y z (fractional)
Bi (0.5000, 0.0000, 0.0000)
Te (0.5000, 0.5000, 0.5000)
Ir (0.0000, 0.0000, 0.0000)
Bi (0.0000, 0.0000, 0.5000)
W (0.0000, 0.5000, 0.0000)